20
Lattice="-0.404 3.539 -0.191 -9.228 -0.919 2.483 2.414 0.775 9.259" Properties=species:S:1:pos:R:3 comment="PBE Zn2Cd2CuPd5, relaxed" formation_energy_mev_per_atom=-274 pbc="T T T"
Zn 0.316 0.369 6.164
Zn -7.130 -0.513 5.578
Zn -3.721 0.094 9.615
Zn -3.093 -0.238 2.127
Cd -5.774 -0.484 3.240
Cd -1.040 0.340 8.502
Cd -0.775 0.099 3.476
Cd -6.039 -0.243 8.265
Cu 0.000 0.000 0.000
Cu -3.407 -0.072 5.871
Pd -1.786 1.652 1.083
Pd -5.432 1.743 10.467
Pd 1.048 2.327 7.579
Pd -5.559 1.463 5.547
Pd -8.266 1.069 3.971
Pd -1.658 1.933 6.003
Pd -3.848 1.776 7.737
Pd -3.370 1.619 3.814
Pd -4.816 1.310 1.146
Pd 1.005 2.157 4.534